No. 1
VASP calculation (PBE-GGA) on an optimized crystal structure of CoIr2Rh.

Output
**Excess energy over the best structure of this formula in the dataset**: 0.256 eV/atom
**Size of the total moment**: 2.42 Bohr magnetons per cell
**Space-group type**: Cmmm, No. 65
**ρ**: 16.06 g/cm3

a = 2.6820 Å, b = 2.6820 Å, c = 9.0407 Å
α = 90.00°, β = 90.00°, γ = 119.74°
Sites, in units of the cell vectors:
Ir 0.0000 0.0000 0.5109
Ir 0.0000 0.0000 0.9891
Rh 0.5000 0.5000 0.2500
Co 0.5000 0.5000 0.7500



No. 2
VASP calculation (PBE-GGA) on an optimized crystal structure of Pr8GeIr3Cl4.

Output
**Size of the total moment**: 0.00 Bohr magnetons per cell
**Space-group type**: R-3m, No. 166
**ρ**: 6.91 g/cm3
**Energy relative to the elements, uncorrected**: -1.158 eV per atom

a = 8.4503 Å, b = 8.9125 Å, c = 8.4498 Å
α = 118.32°, β = 120.00°, γ = 90.00°
Sites, in units of the cell vectors:
Cl 0.0000 0.0000 0.0000
Pr 0.2639 0.2919 0.5277
Pr 0.7361 0.7081 0.4723
Pr 0.7240 0.7079 0.9661
Pr 0.7579 0.2921 0.0339
Pr 0.7579 0.2922 0.5159
Cl 0.5000 0.0000 0.5000
Pr 0.2760 0.2921 0.0339
Pr 0.2421 0.7078 0.4841
Pr 0.2421 0.7079 0.9661
Ir 0.0000 0.5000 0.5000
Cl 0.5000 0.0000 0.0000
Ir 0.5000 0.5000 0.5000
Ge 0.0000 0.5000 0.0000
Cl 0.0000 0.0000 0.5000
Ir 0.5000 0.5000 0.0000



No. 3
VASP calculation (PBE-GGA) on an optimized crystal structure of TePN2.

Output
**Excess energy over the best structure of this formula in the dataset**: 0.170 eV/atom
**Size of the total moment**: 0.00 Bohr magnetons per cell
**Space-group type**: R-3m, No. 166
**ρ**: 6.01 g/cm3
**Energy relative to the elements, uncorrected**: 0.573 eV per atom

a = 7.3101 Å, b = 7.3101 Å, c = 7.3101 Å
α = 22.83°, β = 22.83°, γ = 22.83°
Sites, in units of the cell vectors:
Te 0.0000 0.0000 0.0000
N 0.1242 0.1242 0.1242
P 0.5000 0.5000 0.5000
N 0.8758 0.8758 0.8758



No. 4
VASP calculation (PBE-GGA) on an optimized crystal structure of MoRuW2.

Output
**Excess energy over the best structure of this formula in the dataset**: 0.017 eV/atom
**Size of the total moment**: 0.00 Bohr magnetons per cell
**Space-group type**: Immm, No. 71
**ρ**: 15.00 g/cm3

a = 5.1971 Å, b = 5.1971 Å, c = 5.1971 Å
α = 144.78°, β = 128.62°, γ = 63.83°
Sites, in units of the cell vectors:
Ru 0.2500 0.7500 0.5000
W 0.5078 0.5078 0.0000
Mo 0.7500 0.2500 0.5000
W 0.9922 0.9922 0.0000



No. 5
VASP calculation (PBE-GGA) on an optimized crystal structure of LiLaAsF.

Output
**Size of the total moment**: 0.00 Bohr magnetons per cell
**Space-group type**: P4/nmm, No. 129
**ρ**: 5.32 g/cm3
**Energy relative to the elements, uncorrected**: -2.158 eV per atom

a = 4.0506 Å, b = 4.0506 Å, c = 9.1245 Å
α = 90.00°, β = 90.00°, γ = 90.00°
Sites, in units of the cell vectors:
Li 0.0000 0.0000 0.5000
La 0.0000 0.5000 0.8230
As 0.0000 0.5000 0.3177
F 0.5000 0.5000 0.0000
Li 0.5000 0.5000 0.5000
F 0.0000 0.0000 0.0000
As 0.5000 0.0000 0.6823
La 0.5000 0.0000 0.1770



No. 6
VASP calculation (PBE-GGA) on an optimized crystal structure of Sr2InHg2.

Output
**Excess energy over the best structure of this formula in the dataset**: 0.152 eV/atom
**Size of the total moment**: 0.00 Bohr magnetons per cell
**Space-group type**: I4/mmm, No. 139
**ρ**: 6.66 g/cm3

a = 4.3069 Å, b = 4.3069 Å, c = 9.7776 Å
α = 77.28°, β = 77.28°, γ = 90.00°
Sites, in units of the cell vectors:
Hg 0.7500 0.2500 0.5000
Sr 0.3961 0.3961 0.2078
In 0.0000 0.0000 0.0000
Sr 0.6039 0.6039 0.7922
Hg 0.2500 0.7500 0.5000



No. 7
VASP calculation (PBE-GGA) on an optimized crystal structure of Al2C.

Output
**Final energy**: -5.55 eV per atom
**Size of the total moment**: 0.00 Bohr magnetons per cell
**Space-group type**: P-3m1, No. 164
**ρ**: 2.94 g/cm3

a = 3.0984 Å, b = 3.0984 Å, c = 4.4841 Å
α = 90.00°, β = 90.00°, γ = 120.00°
Sites, in units of the cell vectors:
Al 0.6667 0.3333 0.2324
Al 0.3333 0.6667 0.7676
C 0.0000 0.0000 0.0000



No. 8
VASP calculation (PBE-GGA) on an optimized crystal structure of CaScGeAu.

Output
**Final energy**: -4.74 eV per atom
**Size of the total moment**: 0.00 Bohr magnetons per cell
**Space-group type**: F-43m, No. 216
**ρ**: 6.84 g/cm3

a = 4.9565 Å, b = 4.9565 Å, c = 4.9565 Å
α = 60.00°, β = 60.00°, γ = 60.00°
Sites, in units of the cell vectors:
Au 0.7500 0.7500 0.7500
Ge 0.2500 0.2500 0.2500
Ca 0.0000 0.0000 0.0000
Sc 0.5000 0.5000 0.5000